BeMo2Ir | PBE | optimized geometry

abc: 3.6255 3.6255 9.5011
angles: 79.00 79.00 90.00
Atoms (fractional coordinates):
Be (0.5000, 0.5000, 0.0000)
Mo (0.1489, 0.6250, 0.2500)
Ir (0.7500, 0.2500, 0.5000)
Ir (0.0000, 0.0000, 0.0000)
Mo (0.3750, 0.3989, 0.7500)
Mo (0.6011, 0.1250, 0.2500)
Mo (0.8750, 0.8511, 0.7500)
Be (0.2500, 0.7500, 0.5000)

Space-group type: I-42d, No. 122

---

BeMo2Ir | PBE | optimized geometry

abc: 4.7611 4.7611 4.7611
angles: 133.07 133.07 68.55
Atoms (fractional coordinates):
Mo (0.0000, 0.0000, 0.0000)
Ir (0.7500, 0.2500, 0.5000)
Be (0.5000, 0.5000, 0.0000)
Mo (0.2500, 0.7500, 0.5000)

Space-group type: I-4m2, No. 119

---

Going through the records in order, we get total energy values of -64.870, -34.129 eV per cell.